# 1
PmBe2Pd6 | PBE | optimized geometry

Calculated values
DOS at the Fermi energy = 0.4875 states/eV/atom
E_form = -0.300 eV per atom

Cell: 4.8242 4.8242 8.0034 Å, 90.00 90.00 120.00°
Space group P-31m (No. 162)
Unique sites:
1 Pm 0.0000 0.0000 0.0000 (multiplicity 1)
2 Be 0.3333 0.6667 0.5000 (multiplicity 2)
3 Pd 0.0000 0.3372 0.7032 (multiplicity 6)

# 2
PmBe2Pd3 | PBE | optimized geometry

Calculated values
DOS at the Fermi energy = 0.5691 states/eV/atom
E_form = -0.561 eV per atom

Cell: 9.2488 9.2488 3.8196 Å, 90.00 90.00 120.00°
Space group P6/mmm (No. 191)
Unique sites:
1 Pm 0.0000 0.0000 0.0000 (multiplicity 1)
2 Pm 0.3333 0.6667 0.5000 (multiplicity 2)
3 Be 0.1815 0.3629 0.0000 (multiplicity 6)
4 Pd 0.0000 0.2918 0.5000 (multiplicity 6)
5 Pd 0.0000 0.5000 0.0000 (multiplicity 3)

# 3
Pm2Be6Pd9 | PBE | optimized geometry

Calculated values
DOS at the Fermi energy = 0.2106 states/eV/atom
E_form = -0.572 eV per atom

Cell: 5.6189 5.6189 9.8601 Å, 90.00 90.00 120.00°
Space group P6/mmm (No. 191)
Unique sites:
1 Pm 0.0000 0.0000 0.1980 (multiplicity 2)
2 Be 0.3333 0.6667 0.1669 (multiplicity 4)
3 Be 0.3333 0.6667 0.5000 (multiplicity 2)
4 Pd 0.0000 0.5000 0.0000 (multiplicity 3)
5 Pd 0.0000 0.5000 0.3372 (multiplicity 6)